A geometry-optimized CsUCo2F8 structure. Source: Alexandria via LeMat-Bulk, functional GGA+U.

a b c (Å): 5.755 5.755 8.314
angles (deg): 69.75 69.75 60.00
Sites, in units of the cell vectors:
Cs (0.500, 0.500, 0.500)
U (0.000, 0.000, 0.000)
Co (0.241, 0.241, 0.277)
Co (0.759, 0.759, 0.723)
F (0.159, 0.159, 0.523)
F (0.599, 0.264, 0.162)
F (0.841, 0.841, 0.477)
F (0.975, 0.599, 0.162)
F (0.025, 0.401, 0.838)
F (0.264, 0.975, 0.162)
F (0.736, 0.025, 0.838)
F (0.401, 0.736, 0.838)

## Properties
Total magnetization in μB/atom: 0.250
Symmetry: No. 148
Volume in A^3/atom: 18.219
Total energy in eV/atom: -5.690